[1]
# Ac2NdGa2

A relaxed Ac2NdGa2 crystal (PBE, Alexandria).

Cell and atoms, written as POSCAR:
```
Ac2NdGa2
1.0
4.377 0.000 1.865
1.338 5.613 2.930
-0.168 -0.082 6.464
Ac Nd Ga
2 1 2
direct
0.699 0.800 0.301
0.301 0.200 0.699
0.500 0.500 0.000
0.000 0.204 0.296
0.000 0.796 0.704
```

## Properties
**Energy relative to the lowest polymorph listed for this composition**: 0.53 kcal/mol of atoms
**Raw total energy**: -4.20 eV/atom

***

[2]
# Ac3Nd4Ga4

A relaxed Ac3Nd4Ga4 crystal (PBE, Alexandria).

Cell and atoms, written as POSCAR:
```
Ac3Nd4Ga4
1.0
-1.420 0.383 -4.627
-6.929 -4.175 1.780
0.196 9.279 3.256
Ac Nd Ga
3 4 4
direct
0.110 0.110 0.221
0.890 0.890 0.779
0.000 0.500 0.000
0.331 0.128 0.661
0.669 0.467 0.339
0.669 0.872 0.339
0.331 0.533 0.661
0.222 0.722 0.444
0.778 0.278 0.556
0.500 0.823 0.000
0.500 0.177 0.000
```

## Properties
**Raw total energy**: -4.31 eV/atom

***

[3]
# Ac2NdGa

A relaxed Ac2NdGa crystal (PBE, Alexandria).

Cell and atoms, written as POSCAR:
```
Ac2NdGa
1.0
-2.510 -1.454 -2.492
1.234 -2.067 -2.972
-1.252 -11.662 5.130
Ac Nd Ga
2 1 1
direct
0.086 0.086 0.742
0.914 0.914 0.258
0.500 0.500 0.500
0.000 0.000 0.000
```

## Properties
**Energy relative to the lowest polymorph listed for this composition**: 9.69 kcal/mol of atoms
**Raw total energy**: -3.77 eV/atom

***

[4]
# Ac2NdGa

A relaxed Ac2NdGa crystal (PBE, Alexandria).

Cell and atoms, written as POSCAR:
```
Ac2NdGa
1.0
-0.054 -2.628 2.934
-2.188 -2.420 -2.207
7.591 -3.847 -3.306
Ac Nd Ga
2 1 1
direct
0.000 0.000 0.794
0.000 0.000 0.206
0.500 0.500 0.500
0.500 0.500 0.000
```

## Properties
**Energy relative to the lowest polymorph listed for this composition**: 0.00 kcal/mol of atoms
**Raw total energy**: -4.19 eV/atom

***

[5]
# AcNdGa3

A relaxed AcNdGa3 crystal (PBE, Alexandria).

Cell and atoms, written as POSCAR:
```
AcNdGa3
1.0
4.336 0.000 0.000
0.000 4.592 0.000
0.000 -2.296 13.299
Ac Nd Ga
2 2 6
direct
0.250 0.074 0.148
0.750 0.926 0.852
0.250 0.797 0.594
0.750 0.203 0.406
0.250 0.379 0.757
0.750 0.621 0.243
0.250 0.476 0.952
0.750 0.524 0.048
0.750 0.324 0.647
0.250 0.676 0.353
```

## Properties
**Raw total energy**: -4.21 eV/atom

***

[6]
# Ac4NdGa5

A relaxed Ac4NdGa5 crystal (PBE, Alexandria).

Cell and atoms, written as POSCAR:
```
Ac4NdGa5
1.0
-1.195 3.645 0.571
-3.194 -1.322 1.759
9.261 0.361 17.087
Ac Nd Ga
4 1 5
direct
0.000 0.000 0.193
0.000 0.000 0.397
0.000 0.000 0.603
0.000 0.000 0.807
0.000 0.000 0.000
0.500 0.500 0.086
0.500 0.500 0.295
0.500 0.500 0.500
0.500 0.500 0.705
0.500 0.500 0.914
```

## Properties
**Raw total energy**: -4.09 eV/atom

***

[7]
# AcNdGa4

A relaxed AcNdGa4 crystal (PBE, Alexandria).

Cell and atoms, written as POSCAR:
```
AcNdGa4
1.0
4.207 0.000 -1.299
-0.401 4.188 -1.299
0.225 0.248 8.191
Ac Nd Ga
1 1 4
direct
0.000 0.000 0.000
0.250 0.750 0.500
0.669 0.169 0.338
0.586 0.586 0.172
0.831 0.331 0.662
0.414 0.414 0.828
```

## Properties
**Energy relative to the lowest polymorph listed for this composition**: 0.00 kcal/mol of atoms
**Raw total energy**: -4.13 eV/atom

***

[8]
# Ac2NdGa

A relaxed Ac2NdGa crystal (PBE, Alexandria).

Cell and atoms, written as POSCAR:
```
Ac2NdGa
1.0
-0.474 4.919 -0.026
-4.966 -0.471 1.485
1.476 0.168 4.988
Ac Nd Ga
2 1 1
direct
0.000 0.000 0.500
0.000 0.500 0.000
0.500 0.500 0.500
0.500 0.000 0.000
```

## Properties
**Energy relative to the lowest polymorph listed for this composition**: 1.50 kcal/mol of atoms
**Raw total energy**: -4.13 eV/atom

***

Q: Which of these has the lowest raw total energy?
A: Ac3Nd4Ga4

***

Q: What is the formula in the seventh record?
A: AcNdGa4

***

Q: Among the records above, which one has the lowest raw total energy?
A: Ac3Nd4Ga4

***

Q: Which value of raw total energy does entry 1 give?
A: -4.20 eV/atom